Below is CePN4 after structural relaxation, with properties calculated at the GGA-PBE level.

Output
The uncorrected formation energy comes out at -0.165 eV per atom. The size of the total moment is 0.00 μB per cell.

Unit cell a=5.6300 b=4.4605 c=5.6299 alpha=90.00 beta=90.00 gamma=90.00
With the nearest neighbours (Å) after each atom.
Positions (direct):
Ce: 0.0000 0.5000 0.2500  8 N 2.48
Ce: 0.5000 0.5000 0.7500  8 N 2.48
P: 0.0000 0.0000 0.7500  4 N 1.66
P: 0.5000 0.0000 0.2500  4 N 1.66
N: 0.3235 0.8031 0.0735  1 P 1.66
N: 0.1765 0.1969 0.9265  1 P 1.66
N: 0.3235 0.1969 0.4265  1 P 1.66
N: 0.1765 0.8031 0.5735  1 P 1.66
N: 0.6765 0.8031 0.4265  1 P 1.66
N: 0.8235 0.1969 0.5735  1 P 1.66
N: 0.6765 0.1969 0.0735  1 P 1.66
N: 0.8235 0.8031 0.9265  1 P 1.66